(1)
# CsNaNi2 PBE optimized geometry
data_CsNaNi2
_cell_length_a 7.165
_cell_length_b 7.165
_cell_length_c 7.165
_cell_angle_alpha 90.00
_cell_angle_beta 90.00
_cell_angle_gamma 90.00
_space_group_name_H-M_alt 'F m -3 m'
_space_group_IT_number 225
_space_group_name_Hall '-F 4 2 3'
loop_
_atom_site_label
_atom_site_type_symbol
_atom_site_fract_x
_atom_site_fract_y
_atom_site_fract_z
Cs1 Cs 0.000 0.000 0.000
Na1 Na 0.000 0.000 0.500
Ni1 Ni 0.250 0.250 0.250
# D(E_F) = 6.99 states/eV/cell
# Energy of formation from the pure elements = 1.142 eV per atom
# Total DFT energy (no corrections) = -36.67 eV for the cell shown

=====

(2)
# Tb5Rh2 PBE optimized geometry
data_Tb5Rh2
_cell_length_a 16.253
_cell_length_b 6.422
_cell_length_c 7.162
_cell_angle_alpha 90.00
_cell_angle_beta 97.25
_cell_angle_gamma 90.00
_space_group_name_H-M_alt 'C 1 2/c 1'
_space_group_IT_number 15
_space_group_name_Hall '-C 2yc'
loop_
_atom_site_label
_atom_site_type_symbol
_atom_site_fract_x
_atom_site_fract_y
_atom_site_fract_z
Tb1 Tb 0.000 0.075 0.250
Tb2 Tb 0.095 0.390 0.918
Tb3 Tb 0.218 0.071 0.312
Rh1 Rh 0.111 0.206 0.574
# D(E_F) = 29.28 states/eV/cell
# Energy of formation from the pure elements = -0.583 eV per atom
# Total DFT energy (no corrections) = -167.73 eV for the cell shown

=====

(3)
# RbNdPuI6 PBE optimized geometry
data_RbNdPuI6
_cell_length_a 8.1042
_cell_length_b 8.1042
_cell_length_c 16.4956
_cell_angle_alpha 90.00
_cell_angle_beta 90.00
_cell_angle_gamma 120.00
_space_group_name_H-M_alt 'P -3 1 c'
_space_group_IT_number 163
_space_group_name_Hall '-P 3 2c'
loop_
_atom_site_label
_atom_site_type_symbol
_atom_site_fract_x
_atom_site_fract_y
_atom_site_fract_z
Rb1 Rb 0.0000 0.0000 0.0000
Nd1 Nd 0.3333 0.6667 0.2500
Pu1 Pu 0.3333 0.6667 0.7500
I1 I 0.0044 0.3697 0.1374
# Formation energy without anion corrections = -11.8 eV per formula unit
# D(E_F) = 40.45 states/eV/cell
# Total DFT energy (no corrections) = -82.36 eV for the cell shown

=====

(4)
# MnCo2SbN PBE optimized geometry
data_MnCo2SbN
_cell_length_a 4.110
_cell_length_b 4.110
_cell_length_c 4.898
_cell_angle_alpha 90.00
_cell_angle_beta 90.00
_cell_angle_gamma 90.00
_space_group_name_H-M_alt 'P 4/m m m'
_space_group_IT_number 123
_space_group_name_Hall '-P 4 2'
loop_
_atom_site_label
_atom_site_type_symbol
_atom_site_fract_x
_atom_site_fract_y
_atom_site_fract_z
Mn1 Mn 0.000 0.000 0.000
Co1 Co 0.000 0.500 0.000
Sb1 Sb 0.000 0.000 0.500
N1 N 0.500 0.500 0.500
# Formation energy without anion corrections = 9.3 eV per formula unit
# D(E_F) = 8.64 states/eV/cell
# Total DFT energy (no corrections) = -26.49 eV for the cell shown